# 1
GaNiPtO4 | PBE with a Hubbard U | optimized geometry Values from VASP.

The structure in Quantum ESPRESSO input format:
```
&SYSTEM
  ibrav = 0, nat = 14, ntyp = 4
/
ATOMIC_SPECIES
Ga 69.72 Ga.upf
Ni 58.69 Ni.upf
Pt 195.08 Pt.upf
O 16.00 O.upf
CELL_PARAMETERS angstrom
6.5203 0.0000 0.0000
-3.2601 5.0811 -0.4374
0.0000 -3.1315 5.1499
ATOMIC_POSITIONS crystal
Ga 0.5000 0.0000 0.5000
Ga 0.5000 0.0000 0.0000
Ni 0.8889 0.7778 0.1389
Ni 0.1111 0.2222 0.8611
Pt 0.5000 0.5000 0.5000
Pt 0.0000 0.5000 0.5000
O 0.7450 0.4901 0.7268
O 0.2889 0.9991 0.2496
O 0.7102 0.9991 0.2496
O 0.7450 0.4901 0.2632
O 0.2550 0.5099 0.7368
O 0.7111 0.0009 0.7504
O 0.2898 0.0009 0.7504
O 0.2550 0.5099 0.2732
```

Density of states at the Fermi level in states/eV/f.u.: 1.58
Raw total energy in eV/atom: -5.442

***

# 2
GaNi2PtO6 | PBE with a Hubbard U | optimized geometry Values from VASP.

The structure in Quantum ESPRESSO input format:
```
&SYSTEM
  ibrav = 0, nat = 10, ntyp = 4
/
ATOMIC_SPECIES
Ga 69.72 Ga.upf
Ni 58.69 Ni.upf
Pt 195.08 Pt.upf
O 16.00 O.upf
CELL_PARAMETERS angstrom
3.8370 0.0000 0.0000
0.0000 5.7074 0.0000
0.0000 0.0000 5.7074
ATOMIC_POSITIONS crystal
Ga 0.6551 0.0000 0.0000
Ni 0.8604 0.5000 0.0000
Ni 0.8604 0.0000 0.5000
Pt 0.7016 0.5000 0.5000
O 0.7471 0.2502 0.2502
O 0.7471 0.2502 0.7498
O 0.2064 0.5000 0.5000
O 0.1744 0.0000 0.0000
O 0.7471 0.7498 0.7498
O 0.7471 0.7498 0.2502
```

Density of states at the Fermi level in states/eV/f.u.: 4.28
Raw total energy in eV/atom: -4.936

***

# 3
PuGaNi2O6 | PBE with a Hubbard U | optimized geometry Values from VASP.

The structure in Quantum ESPRESSO input format:
```
&SYSTEM
  ibrav = 0, nat = 10, ntyp = 4
/
ATOMIC_SPECIES
Pu 244.00 Pu.upf
Ga 69.72 Ga.upf
Ni 58.69 Ni.upf
O 16.00 O.upf
CELL_PARAMETERS angstrom
-0.2463 -1.5008 3.6846
2.5588 -4.9051 -1.8269
5.2219 2.2523 1.2664
ATOMIC_POSITIONS crystal
Pu 0.7416 0.0000 0.0000
Ga 0.7390 0.5000 0.5000
Ni 0.7520 0.5000 0.0000
Ni 0.7520 0.0000 0.5000
O 0.7447 0.2544 0.2544
O 0.7447 0.2544 0.7456
O 0.2414 0.5000 0.5000
O 0.2420 0.0000 0.0000
O 0.7447 0.7456 0.7456
O 0.7447 0.7456 0.2544
```

Density of states at the Fermi level in states/eV/f.u.: 5.01
Raw total energy in eV/atom: -6.553

***

# 4
RbGaNiO3 | PBE with a Hubbard U | optimized geometry Values from VASP.

The structure in Quantum ESPRESSO input format:
```
&SYSTEM
  ibrav = 0, nat = 12, ntyp = 4
/
ATOMIC_SPECIES
Rb 85.47 Rb.upf
Ga 69.72 Ga.upf
Ni 58.69 Ni.upf
O 16.00 O.upf
CELL_PARAMETERS angstrom
5.5163 0.0000 0.0000
0.0000 5.5649 0.0000
0.0000 -2.7825 5.1983
ATOMIC_POSITIONS crystal
Rb 0.7500 0.2517 0.5035
Rb 0.2500 0.7483 0.4965
Ga 0.2500 0.0671 0.1343
Ga 0.7500 0.9329 0.8657
Ni 0.2500 0.4344 0.8689
Ni 0.7500 0.5656 0.1311
O 0.2500 0.2425 0.4851
O 0.0000 0.2383 0.0000
O 0.5000 0.7617 0.0000
O 0.5000 0.2383 0.0000
O 0.0000 0.7617 0.0000
O 0.7500 0.7575 0.5149
```

Density of states at the Fermi level in states/eV/f.u.: 0.00
Raw total energy in eV/atom: -4.983

***

# 5
GaNi2RhO6 | PBE with a Hubbard U | optimized geometry Values from VASP.

The structure in Quantum ESPRESSO input format:
```
&SYSTEM
  ibrav = 0, nat = 10, ntyp = 4
/
ATOMIC_SPECIES
Ga 69.72 Ga.upf
Ni 58.69 Ni.upf
Rh 102.91 Rh.upf
O 16.00 O.upf
CELL_PARAMETERS angstrom
-1.4229 3.4172 -0.7154
-4.7448 -2.4108 -2.0785
-2.3414 0.1159 5.2105
ATOMIC_POSITIONS crystal
Ga 0.6775 0.0000 0.0000
Ni 0.8387 0.5000 0.0000
Ni 0.8387 0.0000 0.5000
Rh 0.7081 0.5000 0.5000
O 0.7445 0.2504 0.2504
O 0.7445 0.2504 0.7496
O 0.2160 0.5000 0.5000
O 0.1896 0.0000 0.0000
O 0.7445 0.7496 0.7496
O 0.7445 0.7496 0.2504
```

Density of states at the Fermi level in states/eV/f.u.: 3.44
Raw total energy in eV/atom: -5.179

***

# 6
GaNiRh2O6 | PBE with a Hubbard U | optimized geometry Values from VASP.

The structure in Quantum ESPRESSO input format:
```
&SYSTEM
  ibrav = 0, nat = 10, ntyp = 4
/
ATOMIC_SPECIES
Ga 69.72 Ga.upf
Ni 58.69 Ni.upf
Rh 102.91 Rh.upf
O 16.00 O.upf
CELL_PARAMETERS angstrom
4.7278 0.0000 0.0000
0.0000 5.1435 0.0000
0.0000 0.0000 5.1435
ATOMIC_POSITIONS crystal
Ga 0.5734 0.0000 0.0000
Ni 0.5856 0.5000 0.5000
Rh 0.9486 0.5000 0.0000
Rh 0.9486 0.0000 0.5000
O 0.7521 0.2453 0.2453
O 0.7521 0.2453 0.7547
O 0.1878 0.5000 0.5000
O 0.1941 0.0000 0.0000
O 0.7521 0.7547 0.7547
O 0.7521 0.7547 0.2453
```

Density of states at the Fermi level in states/eV/f.u.: 5.22
Raw total energy in eV/atom: -5.451